[1]
# Zr2Tl2Ag

An optimized crystal structure of Zr2Tl2Ag (PBE, Alexandria via LeMat-Bulk).

```
Zr2Tl2Ag
1.0
-6.6799 0.8431 -2.9193
1.6299 -4.9561 -5.1609
-1.4974 -3.1215 2.5247
Tl Ag Zr
4 2 4
direct
0.3584 0.8584 0.0000
0.6416 0.1416 0.0000
0.8584 0.6416 0.0000
0.1416 0.3584 0.0000
0.5000 0.5000 0.0000
0.0000 0.0000 0.0000
0.6644 0.8356 0.5000
0.8356 0.3356 0.5000
0.1644 0.6644 0.5000
0.3356 0.1644 0.5000
```

Summary:
As for the total energy: -4.819 eV per atom. The energy above the lowest structure with this stoichiometry comes out at 0.000 eV/atom.



[2]
# ZrTlAg

An optimized crystal structure of ZrTlAg (PBE, Alexandria via LeMat-Bulk).

```
ZrTlAg
1.0
-2.7140 0.5207 1.6303
2.3872 -1.8688 4.5666
-0.2868 7.4472 3.4793
Zr Ag Tl
2 2 2
direct
0.5930 0.3122 0.4378
0.4174 0.1506 0.1139
0.2460 0.0102 0.7852
0.7644 0.4525 0.7665
0.9477 0.6493 0.0831
0.0623 0.8135 0.4685
```

Summary:
As for the total energy: -4.559 eV per atom.



[3]
# Zr2TlAg

An optimized crystal structure of Zr2TlAg (PBE, Alexandria via LeMat-Bulk).

```
Zr2TlAg
1.0
4.3316 0.0000 0.0000
0.0000 3.2511 0.0180
0.0000 3.2336 6.1192
Zr Ag Tl
2 1 1
direct
0.0000 0.5067 0.4941
0.0000 0.9933 0.0059
0.5000 0.2500 0.2500
0.5000 0.7500 0.7500
```

Summary:
As for the total energy: -5.620 eV per atom.



[4]
# ZrTlAg2

An optimized crystal structure of ZrTlAg2 (PBE, Alexandria via LeMat-Bulk).

```
ZrTlAg2
1.0
-1.0058 1.0561 -4.8798
-1.1385 -2.0697 -4.5122
-5.6134 0.2635 0.2138
Ag Zr Tl
2 1 1
direct
0.0033 0.0033 0.9955
0.7470 0.7470 0.7598
0.2534 0.2534 0.2330
0.4963 0.4963 0.5117
```

Summary:
As for the total energy: -4.034 eV per atom.



[5]
# ZrTlAg

An optimized crystal structure of ZrTlAg (PBE, Alexandria via LeMat-Bulk).

```
ZrTlAg
1.0
-3.1570 1.3458 -3.0054
3.9967 -1.6366 -1.4690
-4.3220 -10.4356 -0.1330
Zr Tl Ag
2 2 2
direct
0.0000 0.0000 0.0000
0.0000 0.0000 0.5000
0.0000 0.0000 0.7500
0.0000 0.0000 0.2500
0.3333 0.6667 0.2500
0.6667 0.3333 0.7500
```

Summary:
As for the total energy: -3.301 eV per atom.



[6]
# ZrTlAg

An optimized crystal structure of ZrTlAg (PBE, Alexandria via LeMat-Bulk).

```
ZrTlAg
1.0
8.4581 0.0000 0.0000
0.0000 6.2480 0.0000
0.0000 0.0000 4.8834
Ag Zr Tl
4 4 4
direct
0.1667 0.2500 0.4998
0.6667 0.2500 0.0002
0.3333 0.7500 0.9998
0.8333 0.7500 0.5002
0.3335 0.2500 0.9999
0.6665 0.7500 0.0001
0.1665 0.7500 0.4999
0.8335 0.2500 0.5001
0.0000 0.5000 0.0000
0.5000 0.0000 0.5000
0.5000 0.5000 0.5000
0.0000 0.0000 0.0000
```

Summary:
As for the total energy: -4.530 eV per atom.



[7]
# ZrTlAg

An optimized crystal structure of ZrTlAg (PBE, Alexandria via LeMat-Bulk).

```
ZrTlAg
1.0
7.1662 0.0000 -0.0076
-0.0001 4.3449 0.0003
1.3474 0.0000 4.1751
Tl Ag Zr
2 2 2
direct
0.5776 0.7042 0.0814
0.2174 0.7042 0.7616
0.8906 0.7041 0.4249
0.2016 0.2041 0.2696
0.5526 0.2041 0.5938
0.8965 0.2041 0.9222
```

Summary:
As for the total energy: -4.578 eV per atom.



[8]
# Zr6Tl5Ag

An optimized crystal structure of Zr6Tl5Ag (PBE, Alexandria via LeMat-Bulk).

```
Zr6Tl5Ag
1.0
4.2953 -0.0255 1.4252
0.0468 8.7395 0.0156
-0.0063 -0.0127 7.1479
Zr Tl Ag
6 5 1
direct
0.8334 0.2462 0.3332
0.5000 0.2502 0.0000
0.5000 0.7498 0.0000
0.1666 0.7538 0.6668
0.1666 0.2462 0.6668
0.8334 0.7538 0.3332
0.3400 0.0000 0.3193
0.3330 0.5000 0.3341
0.6670 0.5000 0.6659
0.6600 0.0000 0.6807
0.0000 0.5000 0.0000
0.0000 0.0000 0.0000
```

Summary:
As for the total energy: -5.567 eV per atom.



no.,magnetization (Bohr magnetons per cell)
1,0.00
2,0.00
3,0.00
4,0.00
5,0.00
6,0.00
7,0.00
8,0.00